No. 1
DFT (PBE-GGA) results for MgAsPb2 after structural relaxation.

Summary:
The calculation puts the energy of formation at 0.05 eV/atom. The calculation puts the density of states at the Fermi level at 0.68 states/eV per atom. Its energy relative to the lowest polymorph listed for this composition is 0.162 eV per atom.

abc: 4.5307 4.5307 10.1681
angles: 90.00 90.00 90.00
With the nearest neighbours (Å) after each atom.
Positions (direct):
Mg1 0.0000 0.0000 0.0000  8 Pb 3.20-3.40, 4 As 3.40
Mg2 0.5000 0.5000 0.5000  8 Pb 3.20-3.40, 4 As 3.40
As1 0.0000 0.5000 0.2500  8 Pb 3.20-3.40, 4 Mg 3.40
As2 0.5000 0.0000 0.7500  8 Pb 3.20-3.40, 4 Mg 3.40
Pb1 0.0000 0.0000 0.5000  4 Mg 3.20, 4 As 3.40, 4 Pb 3.40
Pb2 0.0000 0.5000 0.7500  4 As 3.20, 4 Pb 3.40, 4 Mg 3.40
Pb3 0.5000 0.0000 0.2500  4 As 3.20, 4 Mg 3.40, 4 Pb 3.40
Pb4 0.5000 0.5000 0.0000  4 Mg 3.20, 4 As 3.40, 4 Pb 3.40

No. 2
DFT (PBE-GGA) results for RbCdBi3 after structural relaxation.

Summary:
The calculation puts the energy of formation at 0.20 eV/atom. The calculation puts the density of states at the Fermi level at 0.71 states/eV per atom. Its energy relative to the lowest polymorph listed for this composition is 0.327 eV per atom.

abc: 5.8449 5.8449 5.8449
angles: 90.00 90.00 90.00
With the nearest neighbours (Å) after each atom.
Positions (direct):
Rb1 0.0000 0.0000 0.0000  12 Bi 4.13
Cd1 0.5000 0.5000 0.5000  6 Bi 2.92
Bi1 0.0000 0.5000 0.5000  2 Cd 2.92
Bi2 0.5000 0.0000 0.5000  2 Cd 2.92
Bi3 0.5000 0.5000 0.0000  2 Cd 2.92

No. 3
DFT (PBE-GGA) results for SnBi2Rh2 after structural relaxation.

Summary:
The calculation puts the energy of formation at -0.05 eV/atom. The calculation puts the density of states at the Fermi level at 0.78 states/eV per atom.

abc: 7.2295 7.2295 4.1955
angles: 90.00 90.00 90.00
With the nearest neighbours (Å) after each atom.
Positions (direct):
Sn1 0.0000 0.0000 0.0000  4 Rh 2.78
Sn2 0.5000 0.5000 0.0000  4 Rh 2.78
Bi1 0.1584 0.3416 0.5000  6 Rh 2.92-3.03, 1 Bi 3.24
Bi2 0.3416 0.8416 0.5000  6 Rh 2.92-3.03, 1 Bi 3.24
Bi3 0.6584 0.1584 0.5000  6 Rh 2.92-3.03, 1 Bi 3.24
Bi4 0.8416 0.6584 0.5000  6 Rh 2.92-3.03, 1 Bi 3.24
Rh1 0.1435 0.6435 0.0000  2 Sn 2.78, 6 Bi 2.92-3.03, 1 Rh 2.93
Rh2 0.3565 0.1435 0.0000  2 Sn 2.78, 6 Bi 2.92-3.03, 1 Rh 2.93
Rh3 0.6435 0.8565 0.0000  2 Sn 2.78, 6 Bi 2.92-3.03, 1 Rh 2.93
Rh4 0.8565 0.3565 0.0000  2 Sn 2.78, 6 Bi 2.92-3.03, 1 Rh 2.93

Q: What is the energy of formation in the second record?
A: 0.20 eV/atom